(1)
DFT (PBE-GGA) results for a relaxed structure of TlV12S16.

magnetization = 0.0000 μB/atom
raw formation energy = -0.98 eV per atom
excess energy over the best structure of this formula in the dataset = 6.7 meV/atom

Cell and atoms, written as CIF:
```
data_TlV12S16
_space_group_name_H-M_alt 'P -1'
_space_group_IT_number 2
_space_group_name_Hall '-P 1'
_cell_length_a 3.2468
_cell_length_b 9.1558
_cell_length_c 15.8210
_cell_angle_alpha 90.04
_cell_angle_beta 90.01
_cell_angle_gamma 90.01
loop_
_atom_site_label
_atom_site_type_symbol
_atom_site_fract_x
_atom_site_fract_y
_atom_site_fract_z
Tl1 Tl 0.0000 0.0000 0.0000
V1 V 0.2481 0.4319 0.0596
V2 V 0.2482 0.6946 0.1883
V3 V 0.2489 0.8714 0.7518
V4 V 0.2503 0.1981 0.6833
V5 V 0.2495 0.3753 0.2585
V6 V 0.2499 0.9292 0.5590
S1 S 0.2502 0.0001 0.3345
S2 S 0.2502 0.1778 0.5266
S3 S 0.2497 0.6203 0.3285
S4 S 0.2503 0.6984 0.6448
S5 S 0.2510 0.4998 0.8318
S6 S 0.2532 0.2012 0.1506
S7 S 0.2539 0.1230 0.8244
S8 S 0.2544 0.6782 0.0256
```



(2)
DFT (PBE-GGA) results for a relaxed structure of YHoGeRh.

magnetization = 0.0000 μB/atom
excess energy over the best structure of this formula in the dataset = 125.2 meV/atom

Cell and atoms, written as CIF:
```
data_YHoGeRh
_space_group_name_H-M_alt 'F -4 3 m'
_space_group_IT_number 216
_space_group_name_Hall 'F -4 2 3'
_cell_length_a 6.9920
_cell_length_b 6.9920
_cell_length_c 6.9920
_cell_angle_alpha 90.00
_cell_angle_beta 90.00
_cell_angle_gamma 90.00
loop_
_atom_site_label
_atom_site_type_symbol
_atom_site_fract_x
_atom_site_fract_y
_atom_site_fract_z
Y1 Y 0.0000 0.0000 0.0000
Ho1 Ho 0.0000 0.0000 0.5000
Ge1 Ge 0.2500 0.2500 0.7500
Rh1 Rh 0.2500 0.2500 0.2500
```



The lowest excess energy over the best structure of this formula in the dataset belongs to which entry? TlV12S16



Repeat the second record exactly.
DFT (PBE-GGA) results for a relaxed structure of YHoGeRh.

magnetization = 0.0000 μB/atom
excess energy over the best structure of this formula in the dataset = 125.2 meV/atom

Cell and atoms, written as CIF:
```
data_YHoGeRh
_space_group_name_H-M_alt 'F -4 3 m'
_space_group_IT_number 216
_space_group_name_Hall 'F -4 2 3'
_cell_length_a 6.9920
_cell_length_b 6.9920
_cell_length_c 6.9920
_cell_angle_alpha 90.00
_cell_angle_beta 90.00
_cell_angle_gamma 90.00
loop_
_atom_site_label
_atom_site_type_symbol
_atom_site_fract_x
_atom_site_fract_y
_atom_site_fract_z
Y1 Y 0.0000 0.0000 0.0000
Ho1 Ho 0.0000 0.0000 0.5000
Ge1 Ge 0.2500 0.2500 0.7500
Rh1 Rh 0.2500 0.2500 0.2500
```